[1]
{
  "formula": "MnPb5",
  "functional": "PBE",
  "state": "relaxed",
  "spacegroup": "No. 8",
  "ef_kcal_per_mol_atoms": 4.48,
  "crystal_system": "monoclinic",
  "lattice_angstrom": [[-6.327, 0.696, 0.972], [-5.204, -1.146, 3.615], [-1.224, 6.737, 5.214]],
  "species": ["Pb", "Pb", "Pb", "Pb", "Pb", "Mn"],
  "frac_coords": [[0.387, 0.387, 0.799], [0.688, 0.688, 0.651], [0.669, 0.669, 0.091], [0.368, 0.368, 0.237], [0.027, 0.027, 0.445], [0.028, 0.028, 0.944]]
}

***

[2]
{
  "formula": "SrAg2Hg",
  "functional": "PBE",
  "state": "relaxed",
  "spacegroup": "No. 15",
  "ef_kcal_per_mol_atoms": -5.32,
  "crystal_system": "monoclinic",
  "lattice_angstrom": [[-3.644, 0.579, -4.283], [-0.831, -4.657, -3.095], [-3.510, -2.182, 6.422]],
  "species": ["Hg", "Sr", "Ag", "Hg", "Ag", "Ag", "Sr", "Ag"],
  "frac_coords": [[0.753, 0.250, 0.006], [0.882, 0.750, 0.263], [0.734, 0.901, 0.661], [0.247, 0.750, 0.994], [0.266, 0.099, 0.339], [0.428, 0.599, 0.661], [0.118, 0.250, 0.737], [0.572, 0.401, 0.339]]
}

***

[3]
{
  "formula": "SrLiP2O",
  "functional": "PBE",
  "state": "relaxed",
  "spacegroup": "No. 123",
  "formation_energy_uncorrected_ev_per_atom": 0.432,
  "crystal_system": "tetragonal",
  "lattice_angstrom": [[5.993, 0.000, 0.000], [0.000, 5.993, 0.000], [0.000, 0.000, 4.498]],
  "species": ["O", "P", "P", "Sr", "Li"],
  "frac_coords": [[0.000, 0.000, 0.500], [0.500, 0.000, 0.000], [0.000, 0.500, 0.000], [0.000, 0.000, 0.000], [0.500, 0.500, 0.500]]
}

***

[4]
{
  "formula": "Pu2PaCu2Si2",
  "functional": "PBE",
  "state": "relaxed",
  "spacegroup": "No. 166",
  "formation_energy_uncorrected_ev_per_atom": -0.265,
  "crystal_system": "trigonal",
  "lattice_angstrom": [[3.942, 0.000, 0.000], [1.971, 3.414, 0.000], [1.971, 1.138, 8.912]],
  "species": ["Pa", "Pu", "Cu", "Cu", "Si", "Pu", "Si"],
  "frac_coords": [[0.000, 0.000, 0.000], [0.149, 0.149, 0.552], [0.405, 0.405, 0.784], [0.595, 0.595, 0.216], [0.258, 0.258, 0.227], [0.851, 0.851, 0.448], [0.742, 0.742, 0.773]]
}

***

[5]
{
  "formula": "InSb2F8",
  "functional": "PBE",
  "state": "relaxed",
  "spacegroup": "No. 12",
  "formation_energy_uncorrected_ev_per_atom": -2.165,
  "crystal_system": "monoclinic",
  "lattice_angstrom": [[-4.550, 2.120, 2.638], [-1.273, -6.097, 1.885], [2.393, -2.654, 5.439]],
  "species": ["F", "F", "F", "F", "Sb", "In", "Sb", "F", "F", "F", "F"],
  "frac_coords": [[0.837, 0.662, 0.662], [0.717, 0.103, 0.103], [0.163, 0.338, 0.338], [0.781, 0.681, 0.086], [0.575, 0.765, 0.765], [0.000, 0.000, 0.000], [0.425, 0.235, 0.235], [0.283, 0.897, 0.897], [0.219, 0.319, 0.914], [0.219, 0.914, 0.319], [0.781, 0.086, 0.681]]
}

***

[6]
{
  "formula": "Na3VBr6",
  "functional": "PBE",
  "state": "relaxed",
  "spacegroup": "No. 12",
  "formation_energy_uncorrected_ev_per_atom": -1.225,
  "crystal_system": "monoclinic",
  "lattice_angstrom": [[6.902, 0.000, 3.317], [2.602, 6.105, 3.426], [0.684, 0.391, 7.417]],
  "species": ["Br", "Na", "Na", "Br", "Br", "Br", "Br", "Na", "Br", "V"],
  "frac_coords": [[0.191, 0.801, 0.344], [0.255, 0.193, 0.298], [0.745, 0.807, 0.702], [0.809, 0.199, 0.656], [0.664, 0.801, 0.344], [0.336, 0.199, 0.656], [0.279, 0.576, 0.866], [0.000, 0.000, 0.000], [0.721, 0.424, 0.134], [0.500, 0.500, 0.500]]
}

***

| no. | raw total energy (eV/cell) | total magnetic moment (μB/f.u.) |
| --- | --- | --- |
| 1 | -26.544 | 3.73 |
| 2 | -17.219 | 0.00 |
| 3 | -17.214 | 5.00 |
| 4 | -59.056 | 0.00 |
| 5 | -49.770 | 0.00 |
| 6 | -35.363 | 2.00 |